Entry from Alexandria: a geometry-optimized TaRu3Cl structure (PBE).

a b c (Å): 4.3318 4.3318 4.3318
angles (deg): 90.00 90.00 90.00
With the nearest neighbours (Å) after each atom.
Sites, in units of the cell vectors:
Ru: 0.0000 0.5000 0.0000  2 Cl 2.17
Ru: 0.0000 0.0000 0.5000  2 Cl 2.17
Ru: 0.5000 0.0000 0.0000  2 Cl 2.17
Cl: 0.0000 0.0000 0.0000  6 Ru 2.17
Ta: 0.5000 0.5000 0.5000  12 Ru 3.06

## Properties
The calculation puts the formation energy (no corrections) at 1.04 eV per atom. The uncorrected energy is -7.27 eV/atom. The crystal system is cubic. The density of states at the Fermi level is 6.18 states/eV per cell. The energy above the most stable polymorph in this dataset is 0.0 meV/atom. For the total magnetization, the calculation gives 0.00 μB/f.u.

***

Entry from Alexandria: a geometry-optimized TaRu2Cl structure (PBE).

a b c (Å): 3.5727 2.9740 7.6831
angles (deg): 89.55 90.00 90.00
With the nearest neighbours (Å) after each atom.
Sites, in units of the cell vectors:
Cl: 0.5000 0.7433 0.6861  2 Ta 2.55
Ru: 0.0000 0.7554 0.1192  4 Ru 2.52, 1 Ta 2.53
Ru: 0.5000 0.2528 0.2458  4 Ru 2.52, 4 Ta 2.80
Ta: 0.0000 0.7485 0.4489  5 Ru 2.53-2.80, 2 Cl 2.55

## Properties
The calculation puts the formation energy (no corrections) at 0.13 eV per atom. The uncorrected energy is -7.93 eV/atom. The crystal system is monoclinic. The density of states at the Fermi level is 2.48 states/eV per cell. The energy above the most stable polymorph in this dataset is 46.1 meV/atom. For the total magnetization, the calculation gives 0.00 μB/f.u.

***

Entry from Alexandria: a geometry-optimized TaRu2Cl structure (PBE).

a b c (Å): 2.9490 3.5728 7.7714
angles (deg): 90.00 90.00 90.00
With the nearest neighbours (Å) after each atom.
Sites, in units of the cell vectors:
Cl: 0.5000 0.5000 0.6717  4 Ta 2.88, 2 Cl 2.95
Ru: 0.0000 0.0000 0.1276  4 Ru 2.50, 1 Ta 2.52
Ru: 0.5000 0.5000 0.2488  4 Ru 2.50
Ta: 0.0000 0.0000 0.4519  5 Ru 2.52-2.80

## Properties
The calculation puts the formation energy (no corrections) at 0.24 eV per atom. The uncorrected energy is -7.83 eV/atom. The crystal system is orthorhombic. The density of states at the Fermi level is 2.45 states/eV per cell. The energy above the most stable polymorph in this dataset is 150.0 meV/atom. For the total magnetization, the calculation gives 0.00 μB/f.u.

***

Entry from Alexandria: a geometry-optimized TaRu2Cl structure (PBE).

a b c (Å): 4.4404 4.4404 4.4404
angles (deg): 60.00 60.00 60.00
With the nearest neighbours (Å) after each atom.
Sites, in units of the cell vectors:
Cl: 0.5000 0.5000 0.5000  4 Ta 2.72, 4 Ru 2.72
Ru: 0.0000 0.0000 0.0000  4 Ta 2.72, 4 Ru 2.72
Ru: 0.2500 0.2500 0.2500  4 Cl 2.72, 4 Ru 2.72
Ta: 0.7500 0.7500 0.7500  4 Cl 2.72, 4 Ru 2.72

## Properties
The calculation puts the formation energy (no corrections) at 0.63 eV per atom. The uncorrected energy is -7.43 eV/atom. The crystal system is cubic. The density of states at the Fermi level is 3.73 states/eV per cell. The energy above the most stable polymorph in this dataset is 547.7 meV/atom. For the total magnetization, the calculation gives 0.00 μB/f.u.